Computed, not measured: a relaxed Rb3Sr2 crystal at the PBE-GGA level of DFT.

abc: 13.1242 13.1242 16.1722
angles: 90.00 90.00 120.00
Space group R-3c (No. 167, hexagonal axes)
Symmetry-distinct sites (fractional):
Rb (0.0000, 0.3253, 0.2500)
Sr (0.0000, 0.0000, 0.1248)

As for the formation energy: 0.23 eV per atom. Its calculated density is 1.8 g/cm3.

***

Computed, not measured: a relaxed ZnSnSbTe2 crystal at the PBE-GGA level of DFT.

abc: 5.729 5.729 5.757
angles: 90.00 90.00 90.00
Space group P4/mmm (No. 123)
Symmetry-distinct sites (fractional):
Zn (0.000, 0.000, 0.000)
Sn (0.500, 0.500, 0.500)
Sb (0.500, 0.500, 0.000)
Te (0.000, 0.500, 0.500)

The calculation puts the uncorrected formation energy at 3.2 eV per formula unit. Its calculated density is 4.9 g/cm3.

***

Computed, not measured: a relaxed Tb10ErSc4 crystal at the PBE-GGA level of DFT.

abc: 10.544 10.544 8.999
angles: 90.00 90.00 90.00
Space group I4/m (No. 87)
Symmetry-distinct sites (fractional):
Tb (0.000, 0.500, 0.250)
Tb (0.121, 0.787, 0.183)
Er (0.000, 0.000, 0.000)
Sc (0.041, 0.232, 0.500)

As for the formation energy: 0.56 eV per atom. Its calculated density is 6.4 g/cm3.

***

Computed, not measured: a relaxed Re2SiTe crystal at the PBE-GGA level of DFT.

abc: 6.293 6.293 6.293
angles: 90.00 90.00 90.00
Space group Fm-3m (No. 225)
Symmetry-distinct sites (fractional):
Re (0.250, 0.250, 0.250)
Si (0.000, 0.000, 0.000)
Te (0.000, 0.000, 0.500)

The calculation puts the uncorrected formation energy at 1.7 eV per formula unit. Its calculated density is 14.1 g/cm3.

***

Computed, not measured: a relaxed TbTmZn crystal at the PBE-GGA level of DFT.

abc: 3.555 3.555 12.107
angles: 90.00 90.00 90.00
Space group I4mm (No. 107)
Symmetry-distinct sites (fractional):
Tb (0.000, 0.000, 0.000)
Tm (0.000, 0.000, 0.289)
Zn (0.000, 0.000, 0.650)

As for the formation energy: -0.21 eV per atom. Its calculated density is 8.5 g/cm3.

***

Computed, not measured: a relaxed HfPt2SeS crystal at the PBE-GGA level of DFT.

abc: 5.075 5.075 4.696
angles: 90.00 90.00 90.00
Space group P4/mmm (No. 123)
Symmetry-distinct sites (fractional):
Hf (0.000, 0.000, 0.000)
Pt (0.000, 0.500, 0.000)
Se (0.500, 0.500, 0.500)
S (0.000, 0.000, 0.500)

The calculation puts the uncorrected formation energy at 2.7 eV per formula unit. Its calculated density is 9.3 g/cm3.

***

Computed, not measured: a relaxed GdZn crystal at the PBE-GGA level of DFT.

abc: 3.795 11.436 4.484
angles: 90.00 90.00 90.00
Space group Cmcm (No. 63)
Symmetry-distinct sites (fractional):
Gd (0.000, 0.150, 0.250)
Zn (0.000, 0.431, 0.250)

As for the formation energy: -0.30 eV per atom. Its calculated density is 7.6 g/cm3.

***

Computed, not measured: a relaxed LiNiSb2 crystal at the PBE-GGA level of DFT.

abc: 3.304 5.096 5.032
angles: 90.00 109.06 90.00
Space group Pm (No. 6)
Symmetry-distinct sites (fractional):
Li (0.000, 0.000, 0.000)
Ni (0.168, 0.500, 0.338)
Sb (0.274, 0.000, 0.541)
Sb (0.464, 0.500, 0.928)

The calculation puts the uncorrected formation energy at -0.4 eV per formula unit. Its calculated density is 6.4 g/cm3.

***

Computed, not measured: a relaxed CaInIr2 crystal at the PBE-GGA level of DFT.

abc: 9.355 3.059 5.465
angles: 90.00 101.62 90.00
Space group C2/m (No. 12)
Symmetry-distinct sites (fractional):
Ca (0.000, 0.000, 0.000)
In (0.000, 0.500, 0.500)
Ir (0.244, 0.000, 0.701)

As for the formation energy: 0.02 eV per atom. Its calculated density is 11.7 g/cm3.

***

Computed, not measured: a relaxed CaMnCo crystal at the PBE-GGA level of DFT.

abc: 2.941 3.677 10.270
angles: 90.00 92.44 90.00
Space group Pm (No. 6)
Symmetry-distinct sites (fractional):
Ca (0.000, 0.000, 0.000)
Ca (0.460, 0.500, 0.677)
Mn (0.164, 0.500, 0.408)
Mn (0.808, 0.000, 0.459)
Co (0.284, 0.000, 0.260)
Co (0.705, 0.500, 0.209)

As for the formation energy: 0.41 eV per atom. Its calculated density is 4.6 g/cm3.

***

Computed, not measured: a relaxed K2HPb crystal at the PBE-GGA level of DFT.

abc: 8.374 8.374 8.374
angles: 90.00 90.00 90.00
Space group Fm-3m (No. 225)
Symmetry-distinct sites (fractional):
K (0.250, 0.250, 0.250)
H (0.000, 0.000, 0.000)
Pb (0.000, 0.000, 0.500)

The value obtained for the final energy is -1.94 eV per atom. Its calculated density is 3.2 g/cm3.

***

Computed, not measured: a relaxed HoZnInCu crystal at the PBE-GGA level of DFT.

abc: 6.715 6.715 6.715
angles: 90.00 90.00 90.00
Space group F-43m (No. 216)
Symmetry-distinct sites (fractional):
Ho (0.000, 0.000, 0.000)
Zn (0.250, 0.250, 0.750)
In (0.000, 0.000, 0.500)
Cu (0.250, 0.250, 0.250)

As for the formation energy: -0.31 eV per atom. Its calculated density is 9.0 g/cm3.